Cu2AgCl: relaxed, PBE.

Cell and atoms, written as CIF:
```
data_Cu2AgCl
_chemical_formula_sum 'Cu2 Ag1 Cl1'
_symmetry_space_group_name_H-M 'P 4 m m'
_symmetry_Int_Tables_number 99
_cell_length_a 3.203
_cell_length_b 3.203
_cell_length_c 6.369
_cell_angle_alpha 90.00
_cell_angle_beta 90.00
_cell_angle_gamma 90.00
loop_
_symmetry_equiv_pos_as_xyz
'x,y,z'
'-y,x,z'
'-x,-y,z'
'y,-x,z'
'-x,y,z'
'y,x,z'
'x,-y,z'
'-y,-x,z'
loop_
_atom_site_label
_atom_site_fract_x
_atom_site_fract_y
_atom_site_fract_z
_atom_site_occupancy
Cu1 0.000 0.000 0.000 1
Cu2 0.500 0.500 0.186 1
Ag1 0.000 0.000 0.417 1
Cl1 0.500 0.500 0.775 1
```

## Properties
Size of the total moment   0.00 Bohr magnetons per cell
Raw formation energy   0.20 eV/f.u.
Energy above the most stable polymorph in this dataset   64.1 meV/atom